Density functional theory data (PBE) for an optimized crystal structure of VCuGeIr.

Computed properties:
ΔE_f = -0.117 eV per atom
Magnetization = 0.399 μB/atom

Cell: 6.0302 6.0302 6.0302 Å, 90.00 90.00 90.00°
Space group F-43m (No. 216)
One atom of each set of equivalent atoms:
V 0.0000 0.0000 0.0000 (multiplicity 4)
Cu 0.2500 0.2500 0.7500 (multiplicity 4)
Ge 0.2500 0.2500 0.2500 (multiplicity 4)
Ir 0.0000 0.0000 0.5000 (multiplicity 4)

Density functional theory data (PBE) for an optimized crystal structure of TlAgTe2.

Computed properties:
Formation energy without anion corrections = -0.13 eV/atom
Magnetization = 0.000 μB/atom

Cell: 10.4907 4.6388 12.1196 Å, 90.00 121.62 90.00°
Space group P2_1/c (No. 14)
One atom of each set of equivalent atoms:
Tl 0.1669 0.1501 0.3745 (multiplicity 4)
Ag 0.3752 0.2274 0.1998 (multiplicity 4)
Te 0.1325 0.6670 0.5771 (multiplicity 4)
Te 0.4177 0.6627 0.3798 (multiplicity 4)

Density functional theory data (PBE) for an optimized crystal structure of CaSnPd3.

Computed properties:
ΔE_f = -0.603 eV per atom
Magnetization = 0.000 μB/atom

Cell: 5.8182 13.1716 5.2045 Å, 90.00 90.00 90.00°
Space group Cmcm (No. 63)
One atom of each set of equivalent atoms:
Ca 0.0000 0.0866 0.2500 (multiplicity 4)
Sn 0.0000 0.3181 0.7500 (multiplicity 4)
Pd 0.0000 0.5000 0.0000 (multiplicity 4)
Pd 0.2395 0.3427 0.2500 (multiplicity 8)

Density functional theory data (PBE) for an optimized crystal structure of Y3Ni8Sn.

Computed properties:
ΔE_f = -0.401 eV per atom
Magnetization = 0.000 μB/atom

Cell: 5.0505 5.0505 24.7230 Å, 90.00 90.00 120.00°
Space group R3m (No. 160, hexagonal axes)
One atom of each set of equivalent atoms:
Y 0.0000 0.0000 0.0000 (multiplicity 3)
Y 0.0000 0.0000 0.1276 (multiplicity 3)
Y 0.0000 0.0000 0.6189 (multiplicity 3)
Ni 0.0000 0.0000 0.3124 (multiplicity 3)
Ni 0.0000 0.0000 0.8123 (multiplicity 3)
Ni 0.9997 0.4999 0.0619 (multiplicity 9)
Ni 0.0013 0.5006 0.5617 (multiplicity 9)
Sn 0.0000 0.0000 0.4947 (multiplicity 3)

Density functional theory data (PBE) for an optimized crystal structure of Er3TePbS.

Computed properties:
Formation energy without anion corrections = -1.07 eV/atom
Magnetization = 0.000 μB/atom

Cell: 8.8273 4.2219 10.1241 Å, 90.00 91.93 90.00°
Space group P2_1/m (No. 11)
One atom of each set of equivalent atoms:
Er 0.1222 0.2500 0.3861 (multiplicity 2)
Er 0.3602 0.2500 0.0829 (multiplicity 2)
Er 0.3687 0.7500 0.6406 (multiplicity 2)
Te 0.1179 0.2500 0.6830 (multiplicity 2)
Pb 0.3665 0.7500 0.3200 (multiplicity 2)
S 0.3430 0.7500 0.9218 (multiplicity 2)

Density functional theory data (PBE) for an optimized crystal structure of Er8Sb2Ir3.

Computed properties:
Formation energy without anion corrections = -0.78 eV/atom
Magnetization = 0.000 μB/atom

Cell: 8.8860 4.8067 8.8870 Å, 90.00 114.01 90.00°
Space group P2/m (No. 10)
One atom of each set of equivalent atoms:
Er 0.1079 0.0000 0.3920 (multiplicity 2)
Er 0.1432 0.5000 0.8648 (multiplicity 2)
Er 0.3645 0.5000 0.6434 (multiplicity 2)
Er 0.3869 0.0000 0.1130 (multiplicity 2)
Sb 0.2433 0.5000 0.2573 (multiplicity 2)
Ir 0.2504 0.0000 0.7506 (multiplicity 2)
Ir 0.5000 0.5000 0.0000 (multiplicity 1)